*a*
Below is ScSbCl2 after structural relaxation, with properties calculated at the PBE level. Values from VASP.

mass density	3.5	g cm⁻³
spin magnetization	0.00	μB per cell
calculated volume	28.50	Å³/atom
DOS at the Fermi energy	2.783	states/eV per cell

```
&SYSTEM
  ibrav = 0, nat = 4, ntyp = 3
/
ATOMIC_SPECIES
Sc 44.96 Sc.upf
Sb 121.76 Sb.upf
Cl 35.45 Cl.upf
ATOMIC_POSITIONS angstrom
Sc 0.000 0.000 0.000
Sb 0.000 0.000 5.786
Cl 1.569 1.569 1.532
Cl 1.569 1.569 10.040
CELL_PARAMETERS angstrom
3.139 0.000 0.000
0.000 3.139 0.000
0.000 0.000 11.572
```


*b*
Below is ScSbCl2 after structural relaxation, with properties calculated at the PBE level. Values from VASP.

mass density	3.3	g cm⁻³
spin magnetization	0.00	μB per cell
calculated volume	29.93	Å³/atom
DOS at the Fermi energy	1.900	states/eV per cell

```
&SYSTEM
  ibrav = 0, nat = 4, ntyp = 3
/
ATOMIC_SPECIES
Sc 44.96 Sc.upf
Sb 121.76 Sb.upf
Cl 35.45 Cl.upf
ATOMIC_POSITIONS angstrom
Sc 0.000 0.000 0.000
Sb 0.000 0.000 6.365
Cl 1.622 0.000 1.930
Cl 0.000 2.900 4.435
CELL_PARAMETERS angstrom
-1.622 2.900 6.365
1.622 -2.900 6.365
1.622 2.900 -6.365
```


Of the structures shown above, *a* is the most stable.